First-principles (PBE) data for a relaxed structure of YAl2Cd2, as listed in Alexandria via LeMat-Bulk.

Calculated values
VASP energy in eV/atom: -3.198
Formation enthalpy at 0 K in eV/atom: -0.042
Energy above the lowest structure with this stoichiometry in meV per atom: 198.6
Size of the total moment in μB per cell: 0.0
Calculated density in g/cm3: 5.5
Symmetry: No. 127

Structure (POSCAR):
```
YAl2Cd2
1.0
8.1333 0.0000 0.0000
0.0000 8.1333 0.0000
0.0000 0.0000 3.3462
Cd Al Y
4 4 2
Cartesian
7.1141 5.0858 0.0000 Cd
5.0858 1.0192 0.0000 Cd
1.0192 3.0475 0.0000 Cd
3.0475 7.1141 0.0000 Cd
5.5078 6.6921 1.6731 Al
2.6255 1.4412 1.6731 Al
1.4412 5.5078 1.6731 Al
6.6921 2.6255 1.6731 Al
4.0666 4.0666 0.0000 Y
0.0000 0.0000 0.0000 Y
```